(1)
A plane-wave DFT calculation with PBE-GGA was carried out for a relaxed structure of SrRh2Au.

Output
total magnetization: 0.003 μB/cell

Unit cell a=9.2318 b=9.2318 c=9.2318 alpha=19.55 beta=19.55 gamma=19.55
Closest atoms and distances in Å follow each position.
Fractional coordinates of all 4 atoms:
Sr 0.0000 0.0000 0.0000  6 Rh 3.01, 6 Sr 3.14
Rh 0.2448 0.2448 0.2448  3 Au 2.79, 3 Sr 3.01
Rh 0.7552 0.7552 0.7552  3 Au 2.79, 3 Sr 3.01
Au 0.5000 0.5000 0.5000  6 Rh 2.79

(2)
A plane-wave DFT calculation with PBE-GGA was carried out for a relaxed structure of Mn2Be.

Output
total magnetization: 5.201 μB/cell

Unit cell a=3.7212 b=3.7212 c=3.7212 alpha=60.00 beta=60.00 gamma=60.00
Closest atoms and distances in Å follow each position.
Fractional coordinates of all 3 atoms:
Mn 0.2500 0.2500 0.2500  4 Be 2.28
Mn 0.7500 0.7500 0.7500  4 Be 2.28
Be 0.0000 0.0000 0.0000  8 Mn 2.28

(3)
A plane-wave DFT calculation with PBE-GGA was carried out for a relaxed structure of Ca2LaCdS.

Output
total magnetization: 0.000 μB/cell

Unit cell a=5.3294 b=5.3294 c=5.6491 alpha=90.00 beta=90.00 gamma=90.00
Closest atoms and distances in Å follow each position.
Fractional coordinates of all 5 atoms:
Ca 0.0000 0.5000 0.0000  2 S 2.66
Ca 0.5000 0.0000 0.0000  2 S 2.66
La 0.0000 0.0000 0.5000  2 S 2.82
Cd 0.5000 0.5000 0.5000  4 La 3.77, 8 Ca 3.88
S 0.0000 0.0000 0.0000  4 Ca 2.66, 2 La 2.82

(4)
A plane-wave DFT calculation with PBE-GGA was carried out for a relaxed structure of SmEr6Th4.

Output
total magnetization: 0.000 μB/cell
distance to the lowest polymorph of the same formula: 0.000 eV/atom

Unit cell a=18.1351 b=18.1351 c=18.1351 alpha=169.18 beta=161.50 gamma=21.48
Closest atoms and distances in Å follow each position.
Fractional coordinates of all 11 atoms:
Sm 0.0000 0.0000 0.0000  2 Sm 3.42, 8 Th 3.73
Er 0.0967 0.5967 0.5000  6 Er 3.42-3.60, 4 Th 3.46-3.50
Er 0.2670 0.7670 0.5000  7 Er 3.42-3.62, 4 Th 3.43-3.47
Er 0.3686 0.8686 0.5000  7 Er 3.42-3.62, 4 Th 3.43-3.54
Er 0.6314 0.1314 0.5000  7 Er 3.42-3.62, 4 Th 3.43-3.54
Er 0.7330 0.2330 0.5000  7 Er 3.42-3.62, 4 Th 3.43-3.47
Er 0.9033 0.4033 0.5000  6 Er 3.42-3.60, 4 Th 3.46-3.50
Th 0.1823 0.1823 0.0000  2 Th 3.42, 8 Er 3.43-3.50
Th 0.4555 0.4555 0.0000  3 Th 3.17-3.42, 4 Er 3.46-3.54
Th 0.5445 0.5445 0.0000  3 Th 3.17-3.42, 4 Er 3.46-3.54
Th 0.8177 0.8177 0.0000  2 Th 3.42, 8 Er 3.43-3.50

(5)
A plane-wave DFT calculation with PBE-GGA was carried out for a relaxed structure of KGa9Pt2.

Output
total magnetization: 0.000 μB/cell

Unit cell a=8.5229 b=8.5229 c=8.5229 alpha=102.23 beta=102.23 gamma=125.18
Closest atoms and distances in Å follow each position.
Fractional coordinates of all 24 atoms:
K 0.3750 0.6250 0.7500  16 Ga 3.46-3.48
K 0.6250 0.3750 0.2500  16 Ga 3.46-3.48
Ga 0.1250 0.8750 0.2500  4 Pt 2.85, 8 Ga 2.95
Ga 0.1334 0.5593 0.3317  4 Ga 2.59-2.86, 2 Pt 2.63-2.87
Ga 0.1334 0.8016 0.5741  4 Ga 2.59-2.86, 2 Pt 2.63-2.87
Ga 0.1984 0.2724 0.3317  4 Ga 2.59-2.86, 2 Pt 2.63-2.87
Ga 0.1984 0.8666 0.9259  4 Ga 2.59-2.86, 2 Pt 2.63-2.87
Ga 0.2724 0.1984 0.8317  4 Ga 2.59-2.86, 2 Pt 2.63-2.87
Ga 0.2724 0.4407 0.0741  4 Ga 2.59-2.86, 2 Pt 2.63-2.87
Ga 0.4407 0.2724 0.5741  4 Ga 2.59-2.86, 2 Pt 2.63-2.87
Ga 0.4407 0.8666 0.1683  4 Ga 2.59-2.86, 2 Pt 2.63-2.87
Ga 0.5593 0.1334 0.8317  4 Ga 2.59-2.86, 2 Pt 2.63-2.87
Ga 0.5593 0.7276 0.4259  4 Ga 2.59-2.86, 2 Pt 2.63-2.87
Ga 0.7276 0.5593 0.9259  4 Ga 2.59-2.86, 2 Pt 2.63-2.87
Ga 0.7276 0.8016 0.1683  4 Ga 2.59-2.86, 2 Pt 2.63-2.87
Ga 0.8016 0.1334 0.0741  4 Ga 2.59-2.86, 2 Pt 2.63-2.87
Ga 0.8016 0.7276 0.6683  4 Ga 2.59-2.86, 2 Pt 2.63-2.87
Ga 0.8666 0.1984 0.4259  4 Ga 2.59-2.86, 2 Pt 2.63-2.87
Ga 0.8666 0.4407 0.6683  4 Ga 2.59-2.86, 2 Pt 2.63-2.87
Ga 0.8750 0.1250 0.7500  4 Pt 2.85, 8 Ga 2.95
Pt 0.0000 0.0000 0.0000  10 Ga 2.63-2.87
Pt 0.0000 0.0000 0.5000  10 Ga 2.63-2.87
Pt 0.0000 0.5000 0.0000  10 Ga 2.63-2.87
Pt 0.5000 0.0000 0.5000  10 Ga 2.63-2.87

(6)
A plane-wave DFT calculation with PBE-GGA was carried out for a relaxed structure of Dy12Y6Mg.

Output
total magnetization: 0.001 μB/cell

Unit cell a=8.6062 b=8.6062 c=8.6062 alpha=97.65 beta=97.65 gamma=97.65
Closest atoms and distances in Å follow each position.
Fractional coordinates of all 19 atoms:
Dy 0.0000 0.2612 0.7388  4 Y 3.31-3.49, 6 Dy 3.38-3.54, 1 Mg 3.38
Dy 0.0000 0.7388 0.2612  4 Y 3.31-3.49, 6 Dy 3.38-3.54, 1 Mg 3.38
Dy 0.1669 0.5891 0.5891  5 Dy 3.16-3.47
Dy 0.2612 0.0000 0.7388  4 Y 3.31-3.49, 6 Dy 3.38-3.54, 1 Mg 3.38
Dy 0.2612 0.7388 0.0000  4 Y 3.31-3.49, 6 Dy 3.38-3.54, 1 Mg 3.38
Dy 0.4109 0.4109 0.8331  5 Dy 3.16-3.47
Dy 0.4109 0.8331 0.4109  5 Dy 3.16-3.47
Dy 0.5891 0.1669 0.5891  5 Dy 3.16-3.47
Dy 0.5891 0.5891 0.1669  5 Dy 3.16-3.47
Dy 0.7388 0.0000 0.2612  4 Y 3.31-3.49, 6 Dy 3.38-3.54, 1 Mg 3.38
Dy 0.7388 0.2612 0.0000  4 Y 3.31-3.49, 6 Dy 3.38-3.54, 1 Mg 3.38
Dy 0.8331 0.4109 0.4109  5 Dy 3.16-3.47
Y 0.1380 0.1380 0.4099  4 Dy 3.31-3.49, 2 Y 3.52, 1 Mg 3.56
Y 0.1380 0.4099 0.1380  4 Dy 3.31-3.49, 2 Y 3.52, 1 Mg 3.56
Y 0.4099 0.1380 0.1380  4 Dy 3.31-3.49, 2 Y 3.52, 1 Mg 3.56
Y 0.5901 0.8620 0.8620  4 Dy 3.31-3.49, 2 Y 3.52, 1 Mg 3.56
Y 0.8620 0.5901 0.8620  4 Dy 3.31-3.49, 2 Y 3.52, 1 Mg 3.56
Y 0.8620 0.8620 0.5901  4 Dy 3.31-3.49, 2 Y 3.52, 1 Mg 3.56
Mg 0.0000 0.0000 0.0000  6 Dy 3.38, 6 Y 3.56

(7)
A plane-wave DFT calculation with PBE-GGA was carried out for a relaxed structure of Li2FeW.

Output
total magnetization: 1.978 μB/cell
distance to the lowest polymorph of the same formula: 0.000 eV/atom

Unit cell a=2.6424 b=2.6424 c=9.1768 alpha=90.00 beta=90.00 gamma=109.82
Closest atoms and distances in Å follow each position.
Fractional coordinates of all 4 atoms:
Li 0.0000 0.0000 0.0000  2 Fe 2.63, 4 Li 2.64
Li 0.5000 0.5000 0.2817  4 Li 2.64, 2 W 2.84
Fe 0.5000 0.5000 0.7656  2 W 2.55, 2 Li 2.63, 4 Fe 2.64
W 0.0000 0.0000 0.5426  2 Fe 2.55, 4 W 2.64, 2 Li 2.84

(8)
A plane-wave DFT calculation with PBE-GGA was carried out for a relaxed structure of Re2Ru.

Output
total magnetization: 0.000 μB/cell
distance to the lowest polymorph of the same formula: 0.013 eV/atom

Unit cell a=5.2115 b=5.2115 c=6.5090 alpha=103.50 beta=103.50 gamma=30.70
Closest atoms and distances in Å follow each position.
Fractional coordinates of all 6 atoms:
Re 0.0294 0.0294 0.3088  7 Re 2.69-2.78, 5 Ru 2.71-2.74
Re 0.3590 0.3590 0.9758  9 Re 2.67-2.78, 3 Ru 2.71-2.78
Re 0.6410 0.6410 0.0242  9 Re 2.67-2.78, 3 Ru 2.71-2.78
Re 0.9706 0.9706 0.6912  7 Re 2.69-2.78, 5 Ru 2.71-2.74
Ru 0.3057 0.3057 0.3637  4 Ru 2.70-2.76, 8 Re 2.71-2.78
Ru 0.6943 0.6943 0.6363  4 Ru 2.70-2.76, 8 Re 2.71-2.78

(9)
A plane-wave DFT calculation with PBE-GGA was carried out for a relaxed structure of InRh3.

Output
total magnetization: 0.000 μB/cell

Unit cell a=5.3015 b=5.3015 c=5.3015 alpha=148.54 beta=63.82 gamma=126.03
Closest atoms and distances in Å follow each position.
Fractional coordinates of all 4 atoms:
In 0.0000 0.0000 0.0000  10 Rh 2.75-2.84, 2 In 2.87
Rh 0.4155 0.6619 0.7536  3 In 2.75-2.81, 9 Rh 2.77-2.87
Rh 0.4915 0.9915 0.5000  8 Rh 2.77-2.87, 4 In 2.77-2.84
Rh 0.9082 0.6619 0.2464  3 In 2.75-2.81, 9 Rh 2.77-2.87

(10)
A plane-wave DFT calculation with PBE-GGA was carried out for a relaxed structure of Mn3V4Fe2.

Output
total magnetization: 2.339 μB/cell

Unit cell a=4.0567 b=4.0567 c=7.4517 alpha=90.00 beta=90.00 gamma=120.00
Closest atoms and distances in Å follow each position.
Fractional coordinates of all 9 atoms:
Mn 0.0000 0.0000 0.0000  8 V 2.49-2.50
Mn 0.3333 0.6667 0.5656  4 V 2.40-2.46, 3 Mn 2.54, 1 Fe 2.59
Mn 0.6667 0.3333 0.4344  4 V 2.40-2.46, 3 Mn 2.54, 1 Fe 2.59
V 0.0000 0.0000 0.3352  1 V 2.46, 4 Mn 2.46-2.50, 3 Fe 2.50
V 0.0000 0.0000 0.6648  1 V 2.46, 4 Mn 2.46-2.50, 3 Fe 2.50
V 0.3333 0.6667 0.8871  4 Mn 2.40-2.49, 4 Fe 2.46-2.47
V 0.6667 0.3333 0.1129  4 Mn 2.40-2.49, 4 Fe 2.46-2.47
Fe 0.3333 0.6667 0.2178  7 V 2.46-2.50, 1 Mn 2.59
Fe 0.6667 0.3333 0.7822  7 V 2.46-2.50, 1 Mn 2.59

(11)
A plane-wave DFT calculation with PBE-GGA was carried out for a relaxed structure of Pa3H3Au.

Output
total magnetization: 2.913 μB/cell

Unit cell a=6.0899 b=6.0899 c=6.0899 alpha=90.00 beta=90.00 gamma=90.00
Closest atoms and distances in Å follow each position.
Fractional coordinates of all 14 atoms:
Pa 0.0000 0.2500 0.5000  4 H 2.15
Pa 0.0000 0.7500 0.5000  4 H 2.15
Pa 0.2500 0.5000 0.0000  4 H 2.15
Pa 0.5000 0.0000 0.2500  4 H 2.15
Pa 0.5000 0.0000 0.7500  4 H 2.15
Pa 0.7500 0.5000 0.0000  4 H 2.15
H 0.0000 0.5000 0.2500  4 Pa 2.15
H 0.0000 0.5000 0.7500  4 Pa 2.15
H 0.2500 0.0000 0.5000  4 Pa 2.15
H 0.5000 0.2500 0.0000  4 Pa 2.15
H 0.5000 0.7500 0.0000  4 Pa 2.15
H 0.7500 0.0000 0.5000  4 Pa 2.15
Au 0.0000 0.0000 0.0000  12 H 3.40, 12 Pa 3.40
Au 0.5000 0.5000 0.5000  12 H 3.40, 12 Pa 3.40

(12)
A plane-wave DFT calculation with PBE-GGA was carried out for a relaxed structure of SmY2SnN4.

Output
total magnetization: 0.000 μB/cell

Unit cell a=6.1870 b=6.1870 c=12.2043 alpha=90.00 beta=90.00 gamma=147.35
Closest atoms and distances in Å follow each position.
Fractional coordinates of all 16 atoms:
Sm 0.1352 0.8648 0.7500  6 N 2.59-2.65
Sm 0.8648 0.1352 0.2500  6 N 2.59-2.65
Y 0.3702 0.6298 0.5301  5 N 2.30-2.58
Y 0.3702 0.6298 0.9699  5 N 2.30-2.58
Y 0.6298 0.3702 0.0301  5 N 2.30-2.58
Y 0.6298 0.3702 0.4699  5 N 2.30-2.58
Sn 0.1319 0.8681 0.2500  4 N 2.14-2.15
Sn 0.8681 0.1319 0.7500  4 N 2.14-2.15
N 0.0000 0.0000 0.0000  4 Y 2.35
N 0.0000 0.0000 0.5000  4 Y 2.35
N 0.2577 0.7423 0.1237  1 Sn 2.15, 1 Y 2.30
N 0.2577 0.7423 0.3763  1 Sn 2.15, 1 Y 2.30
N 0.4732 0.5268 0.7500  2 Sn 2.14
N 0.5268 0.4732 0.2500  2 Sn 2.14
N 0.7423 0.2577 0.6237  1 Sn 2.15, 1 Y 2.30
N 0.7423 0.2577 0.8763  1 Sn 2.15, 1 Y 2.30

Number 1: calculated total energy -17.7 eV/cell, ρ 10.6 g/cm³. Number 2: calculated total energy -20.6 eV/cell, ρ 5.4 g/cm³. Number 3: calculated total energy -17.9 eV/cell, ρ 3.8 g/cm³. Number 4: calculated total energy -59.9 eV/cell, ρ 9.7 g/cm³. Number 5: calculated total energy -87.7 eV/cell, ρ 7.8 g/cm³. Number 6: calculated total energy -93.1 eV/cell, ρ 6.7 g/cm³. Number 7: calculated total energy -24.2 eV/cell, ρ 7.0 g/cm³. Number 8: calculated total energy -68.7 eV/cell, ρ 18.0 g/cm³. Number 9: calculated total energy -25.2 eV/cell, ρ 11.3 g/cm³. Number 10: calculated total energy -82.0 eV/cell, ρ 7.5 g/cm³. Number 11: calculated total energy -84.7 eV/cell, ρ 13.1 g/cm³. Number 12: calculated total energy -123.8 eV/cell, ρ 6.6 g/cm³.